This record from Alexandria via LeMat-Bulk describes Cd2PH2 after structural relaxation. The functional is PBE.

ΔE to the lowest computed polymorph in eV/atom: 0.186
Spin magnetization in μB/cell: 0.0
V in Å³/cell: 139.9

Lattice parameters (Å, degrees): 3.377 3.377 12.268 90.00 90.00 90.00
Space group I4/mmm (No. 139)
One atom of each set of equivalent atoms:
1 Cd 0.000 0.000 0.137
2 P 0.000 0.000 0.500
3 H 0.000 0.500 0.250

This record from Alexandria via LeMat-Bulk describes PmHoCdAg after structural relaxation. The functional is PBE.

Energy of formation in eV per atom: -0.2917
ΔE to the lowest computed polymorph in eV/atom: 0.012
Spin magnetization in μB/cell: 0.0
V in Å³/cell: 414.8

Lattice parameters (Å, degrees): 7.458 7.458 7.458 90.00 90.00 90.00
Space group F-43m (No. 216)
One atom of each set of equivalent atoms:
1 Pm 0.000 0.000 0.000
2 Ho 0.000 0.000 0.500
3 Cd 0.250 0.250 0.750
4 Ag 0.250 0.250 0.250

This record from Alexandria via LeMat-Bulk describes RbGa2Au2 after structural relaxation. The functional is PBE.

Energy of formation in eV per atom: -0.0821
ΔE to the lowest computed polymorph in eV/atom: 0.205
Spin magnetization in μB/cell: 0.0
V in Å³/cell: 226.7

Lattice parameters (Å, degrees): 8.670 8.670 3.016 90.00 90.00 90.00
Space group P4/mbm (No. 127)
One atom of each set of equivalent atoms:
1 Rb 0.000 0.000 0.000
2 Ga 0.134 0.366 0.500
3 Au 0.145 0.645 0.000

This record from Alexandria via LeMat-Bulk describes KTa2Mo after structural relaxation. The functional is PBE.

Energy of formation in eV per atom: 1.2720
ΔE to the lowest computed polymorph in eV/atom: 0.691
Spin magnetization in μB/cell: 0.0
V in Å³/cell: 173.1

Lattice parameters (Å, degrees): 2.975 5.623 10.351 90.00 90.00 90.00
Space group Imm2 (No. 44)
One atom of each set of equivalent atoms:
1 K 0.000 0.000 0.000
2 Ta 0.000 0.000 0.474
3 Ta 0.000 0.500 0.206
4 Mo 0.000 0.500 0.774

This record from Alexandria via LeMat-Bulk describes LaPa4P5 after structural relaxation. The functional is PBE.

Energy of formation in eV per atom: -1.3555
Spin magnetization in μB/cell: 0.0
V in Å³/cell: 459.0

Lattice parameters (Å, degrees): 13.337 4.010 9.869 90.00 119.58 90.00
Space group C2/m (No. 12)
One atom of each set of equivalent atoms:
1 La 0.000 0.000 0.000
2 Pa 0.097 0.500 0.399
3 Pa 0.202 0.000 0.794
4 P 0.000 0.000 0.500
5 P 0.109 0.500 0.896
6 P 0.203 0.000 0.310

This record from Alexandria via LeMat-Bulk describes SiBi3Te after structural relaxation. The functional is PBE.

Formation energy (no corrections) in eV/atom: 1.122
ΔE to the lowest computed polymorph in eV/atom: 0.560
Spin magnetization in μB/cell: 0.0
V in Å³/cell: 199.3

Lattice parameters (Å, degrees): 5.842 5.842 5.842 90.00 90.00 90.00
Space group Pm-3m (No. 221)
One atom of each set of equivalent atoms:
1 Si 0.000 0.000 0.000
2 Bi 0.000 0.500 0.500
3 Te 0.500 0.500 0.500

This record from Alexandria via LeMat-Bulk describes Al6Ir5Pd after structural relaxation. The functional is PBE.

Energy of formation in eV per atom: -0.9089
Spin magnetization in μB/cell: 0.0
V in Å³/cell: 333.2

Lattice parameters (Å, degrees): 4.315 12.961 5.958 90.00 90.00 90.00
Space group Cmmm (No. 65)
One atom of each set of equivalent atoms:
1 Al 0.000 0.000 0.249
2 Al 0.000 0.332 0.249
3 Ir 0.000 0.166 0.000
4 Ir 0.000 0.166 0.500
5 Ir 0.000 0.500 0.500
6 Pd 0.000 0.500 0.000

This record from Alexandria via LeMat-Bulk describes Ac2Al6Zn3 after structural relaxation. The functional is PBE.

Energy of formation in eV per atom: -0.3158
Spin magnetization in μB/cell: 0.0
V in Å³/cell: 236.6

Lattice parameters (Å, degrees): 7.9350 7.9350 4.3394 90.00 90.00 120.00
Space group P-62m (No. 189)
One atom of each set of equivalent atoms:
1 Ac 0.3333 0.6667 0.0000
2 Al 0.0000 0.2995 0.5000
3 Al 0.0000 0.8086 0.0000
4 Zn 0.0000 0.6339 0.5000

This record from Alexandria via LeMat-Bulk describes AlAgOs2 after structural relaxation. The functional is PBE.

Energy of formation in eV per atom: 0.3803
Spin magnetization in μB/cell: 1.3
V in Å³/cell: 123.6

Lattice parameters (Å, degrees): 2.832 4.751 9.182 90.00 90.00 90.00
Space group Cmm2 (No. 35)
One atom of each set of equivalent atoms:
1 Al 0.000 0.000 0.000
2 Ag 0.000 0.500 0.251
3 Os 0.000 0.000 0.527
4 Os 0.000 0.500 0.767

This record from Alexandria via LeMat-Bulk describes Y6Tm12Mg after structural relaxation. The functional is PBE.

Energy of formation in eV per atom: 0.1576
ΔE to the lowest computed polymorph in eV/atom: 0.124
Spin magnetization in μB/cell: 0.0
V in Å³/cell: 1788.5

Lattice parameters (Å, degrees): 12.1686 12.1686 13.9471 90.00 90.00 120.00
Space group R-3 (No. 148, hexagonal axes)
One atom of each set of equivalent atoms:
1 Y 0.0274 0.4353 0.2106
2 Tm 0.0468 0.1820 0.3109
3 Tm 0.0662 0.8710 0.9054
4 Mg 0.0000 0.0000 0.5000

This record from Alexandria via LeMat-Bulk describes LiHf4Se8 after structural relaxation. The functional is PBE.

Formation energy (no corrections) in eV/atom: -1.353
ΔE to the lowest computed polymorph in eV/atom: 0.000
Spin magnetization in μB/cell: 0.0
V in Å³/cell: 981.0

Lattice parameters (Å, degrees): 7.4927 7.4927 20.1768 90.00 90.00 120.00
Space group R-3m (No. 166, hexagonal axes)
One atom of each set of equivalent atoms:
1 Li 0.0000 0.0000 0.0000
2 Hf 0.0000 0.0000 0.5000
3 Hf 0.0000 0.5000 0.5000
4 Se 0.0000 0.0000 0.2452
5 Se 0.0017 0.5009 0.2463

This record from Alexandria via LeMat-Bulk describes LaMgAg after structural relaxation. The functional is PBE.

Energy of formation in eV per atom: -0.2746
Spin magnetization in μB/cell: 0.0
V in Å³/cell: 237.2

Lattice parameters (Å, degrees): 7.8430 7.8430 4.4534 90.00 90.00 120.00
Space group P-62m (No. 189)
One atom of each set of equivalent atoms:
1 La 0.0000 0.4167 0.0000
2 Mg 0.0000 0.7633 0.5000
3 Ag 0.0000 0.0000 0.0000
4 Ag 0.3333 0.6667 0.5000